The following is a PBE+U calculation of crystalline MnTlF4 at its relaxed geometry, from the Alexandria database.

Summary:
Final energy (eV per formula unit): -31.0

abc: 6.405 6.591 6.795
angles: 110.41 105.98 102.54
Space group P-1 (No. 2)
Asymmetric unit:
Mn 0.248 0.490 0.003 x2
Tl 0.261 0.857 0.637 x2
F 0.029 0.616 0.880 x2
F 0.108 0.221 0.731 x2
F 0.390 0.760 0.274 x2
F 0.478 0.368 0.110 x2